Below is K2SiPt after structural relaxation, with properties calculated at the PBE level.

Unit cell a=4.084 b=4.097 c=10.770 alpha=90.00 beta=90.00 gamma=90.00
Space group Immm (No. 71)
Asymmetric unit:
K: 0.000 0.000 0.249 (multiplicity 4)
Si: 0.000 0.500 0.000 (multiplicity 2)
Pt: 0.000 0.500 0.500 (multiplicity 2)

Output
The calculation puts the magnetization at 0.00 μB/f.u. As for the raw total energy: -3.074 eV/atom. The uncorrected formation energy is 33 kJ per mole of atoms. Its density is 5.6 Mg/m³.